1.
# SrPdW (PBE-GGA, optimized geometry)
data_SrPdW
_cell_length_a 3.286
_cell_length_b 3.410
_cell_length_c 11.762
_cell_angle_alpha 89.07
_cell_angle_beta 89.97
_cell_angle_gamma 89.91
_symmetry_space_group_name_H-M 'P 1'
_symmetry_Int_Tables_number 1
_symmetry_space_group_name_Hall 'P 1'
loop_
_atom_site_label
_atom_site_type_symbol
_atom_site_fract_x
_atom_site_fract_y
_atom_site_fract_z
Sr1 Sr 0.000 0.000 0.000
Sr2 Sr 0.001 0.019 0.645
Pd1 Pd 0.500 0.509 0.821
Pd2 Pd 0.501 0.528 0.459
W1 W 0.002 0.045 0.316
W2 W 0.500 0.499 0.212
# Energy (eV per atom): -6.4562
# Magnetic moment (μB per atom): 0.000
# Energy relative to the lowest polymorph listed for this composition (eV/f.u.): 0.000
# ρ (kg/m3): 9524
# Energy relative to the elements (meV/atom): 153.1

=====

2.
# Zr2Nb2Ru (PBE-GGA, optimized geometry)
data_Zr2Nb2Ru
_cell_length_a 6.632
_cell_length_b 6.632
_cell_length_c 4.621
_cell_angle_alpha 90.00
_cell_angle_beta 90.00
_cell_angle_gamma 90.00
_symmetry_space_group_name_H-M 'P 4/m b m'
_symmetry_Int_Tables_number 127
_symmetry_space_group_name_Hall '-P 4 2ab'
loop_
_atom_site_label
_atom_site_type_symbol
_atom_site_fract_x
_atom_site_fract_y
_atom_site_fract_z
Zr1 Zr 0.167 0.333 0.000
Nb1 Nb 0.148 0.648 0.500
Ru1 Ru 0.000 0.000 0.500
# Energy (eV per atom): -9.2260
# Magnetic moment (μB per atom): 0.000
# Energy relative to the lowest polymorph listed for this composition (eV/f.u.): 1.658
# ρ (kg/m3): 7670
# Energy relative to the elements (meV/atom): 76.3

=====

3.
# ErScW4 (PBE-GGA, optimized geometry)
data_ErScW4
_cell_length_a 7.729
_cell_length_b 7.729
_cell_length_c 7.729
_cell_angle_alpha 90.00
_cell_angle_beta 90.00
_cell_angle_gamma 90.00
_symmetry_space_group_name_H-M 'F -4 3 m'
_symmetry_Int_Tables_number 216
_symmetry_space_group_name_Hall 'F -4 2 3'
loop_
_atom_site_label
_atom_site_type_symbol
_atom_site_fract_x
_atom_site_fract_y
_atom_site_fract_z
Er1 Er 0.000 0.000 0.000
Sc1 Sc 0.250 0.250 0.250
W1 W 0.125 0.125 0.625
# Energy (eV per atom): -10.3709
# Magnetic moment (μB per atom): 0.000
# ρ (kg/m3): 13632
# Energy relative to the elements (meV/atom): 80.3